Entry from Alexandria via LeMat-Bulk: SiO2 after structural relaxation (PBE).

Cell lengths 9.960, 9.960, 9.960 Å; angles 90.00, 90.00, 90.00 degrees
Space group Im-3m (No. 229)
Asymmetric unit:
Si 0.157 0.157 0.157 [16 per cell]
O 0.000 0.189 0.189 [24 per cell]
O 0.250 0.250 0.250 [8 per cell]

Results
- Final energy: -379.2 eV/cell

Entry from Alexandria via LeMat-Bulk: SiO2 after structural relaxation (PBE).

Cell lengths 9.671, 10.407, 9.068 Å; angles 90.00, 90.00, 90.00 degrees
Space group Cmcm (No. 63)
Asymmetric unit:
Si 0.164 0.135 0.076 [16 per cell]
O 0.000 0.161 0.051 [8 per cell]
O 0.201 0.129 0.250 [8 per cell]
O 0.210 0.000 0.000 [8 per cell]
O 0.250 0.250 0.000 [8 per cell]

Results
- Final energy: -379.4 eV/cell

Entry from Alexandria via LeMat-Bulk: SiO2 after structural relaxation (PBE).

Cell lengths 14.5004, 14.5004, 5.0585 Å; angles 90.00, 90.00, 120.00 degrees
Space group R-3m (No. 166, hexagonal axes)
Asymmetric unit:
Si 0.0809 0.5405 0.2341 [18 per cell]
O 0.0000 0.1772 0.5000 [18 per cell]
O 0.0000 0.5000 0.0000 [9 per cell]
O 0.0000 0.5000 0.5000 [9 per cell]

Results
- Final energy: -414.8 eV/cell

Entry from Alexandria via LeMat-Bulk: SiO2 after structural relaxation (PBE).

Cell lengths 10.293, 12.204, 10.227 Å; angles 90.00, 90.00, 90.00 degrees
Space group Cccm (No. 66)
Asymmetric unit:
Si 0.000 0.000 0.250 [4 per cell]
Si 0.105 0.213 0.150 [16 per cell]
O 0.000 0.268 0.250 [8 per cell]
O 0.075 0.252 0.000 [8 per cell]
O 0.092 0.079 0.160 [16 per cell]
O 0.250 0.250 0.192 [8 per cell]

Results
- Final energy: -472.9 eV/cell

Entry from Alexandria via LeMat-Bulk: SiO2 after structural relaxation (PBE).

Cell lengths 5.277, 7.554, 8.156 Å; angles 90.00, 90.00, 90.00 degrees
Space group Pmma (No. 51)
Asymmetric unit:
Si 0.250 0.000 0.114 [2 per cell]
Si 0.250 0.291 0.393 [4 per cell]
O 0.000 0.000 0.000 [2 per cell]
O 0.000 0.242 0.500 [4 per cell]
O 0.250 0.178 0.226 [4 per cell]
O 0.250 0.500 0.344 [2 per cell]

Results
- Final energy: -142.3 eV/cell

Entry from Alexandria via LeMat-Bulk: Sm2SiO5 after structural relaxation (PBE).

Cell lengths 9.240, 7.307, 6.815 Å; angles 90.00, 108.19, 90.00 degrees
Space group P2_1/c (No. 14)
Asymmetric unit:
Sm 0.022 0.125 0.232 [4 per cell]
Sm 0.389 0.154 0.090 [4 per cell]
Si 0.299 0.581 0.042 [4 per cell]
O 0.115 0.122 0.950 [4 per cell]
O 0.117 0.635 0.993 [4 per cell]
O 0.293 0.074 0.361 [4 per cell]
O 0.368 0.041 0.754 [4 per cell]
O 0.410 0.746 0.554 [4 per cell]

Results
- Final energy: -264.3 eV/cell
- Polymorph energy (0 for the lowest one): 0.05 eV per formula unit

V for every record listed, in sequence, given in Å³/cell: 988.1 912.6 921.1 1284.7 325.1 437.1.